Record 1
SrTl2O4: optimized geometry, PBE.

Computed properties:
calculated total energy	-4.467	eV per atom
distance to the lowest polymorph of the same formula	0.604	eV/atom
total moment	0.55	Bohr magnetons per cell
ΔE_f (raw)	-0.72	eV/atom

abc: 4.7233 4.7233 6.7542
angles: 69.53 69.53 90.00
Last column: nearest neighbours and their distance in Å.
Atoms (fractional coordinates):
Sr 0.0000 0.0000 0.0000  6 O 2.36-2.42
Tl 0.6234 0.6234 0.7532  1 O 2.00
Tl 0.3766 0.3766 0.2468  1 O 2.00
O 0.7940 0.7940 0.4120  1 Tl 2.00
O 0.2060 0.2060 0.5880  1 Tl 2.00
O 0.0000 0.5000 0.0000  2 Sr 2.36
O 0.5000 0.0000 0.0000  2 Sr 2.36


Record 2
Ac2ZnS2O2: optimized geometry, PBE.

Computed properties:
calculated total energy	-6.244	eV per atom
total moment	0.00	Bohr magnetons per cell
ΔE_f (raw)	-2.29	eV/atom

abc: 4.1970 4.1970 8.1238
angles: 104.97 104.97 90.00
Last column: nearest neighbours and their distance in Å.
Atoms (fractional coordinates):
Ac 0.3804 0.3804 0.7608  4 O 2.77, 4 S 3.08
Ac 0.6196 0.6196 0.2392  4 O 2.77, 4 S 3.08
Zn 0.0000 0.0000 0.0000  4 O 2.10
S 0.1750 0.1750 0.3501  1 Zn 2.65
S 0.8250 0.8250 0.6499  1 Zn 2.65
O 0.0000 0.5000 0.0000  2 Zn 2.10
O 0.5000 0.0000 0.0000  2 Zn 2.10